No. 1
! Rb2Pu3HgO12 | Alexandria via LeMat-Bulk | PBE | optimized geometry; values from VASP
! **Space group**: No. 166
&SYSTEM
  ibrav = 0, nat = 18, ntyp = 4
/
ATOMIC_SPECIES
Rb 85.47 Rb.upf
Pu 244.00 Pu.upf
Hg 200.59 Hg.upf
O 16.00 O.upf
ATOMIC_POSITIONS angstrom
Rb 0.9618 -6.5779 -9.1941
Rb 0.5857 -4.0058 -5.5991
Pu -0.0257 0.0819 -3.8158
Pu 2.3731 -2.3887 -1.7973
Pu -1.5736 -2.9851 -1.7835
Hg 0.0000 0.0000 0.0000
O -1.4694 -6.9112 -6.7129
O 3.1496 -6.3840 -11.5570
O 1.4431 -9.7654 -9.3163
O 0.4403 -3.1274 -9.2202
O -1.2017 -7.0416 -11.5417
O 3.3998 -6.1754 -6.7299
O 3.0169 -3.6725 -8.0804
O -1.6021 -4.1997 -3.2363
O 0.1045 -0.8183 -5.4769
O 1.1072 -7.4563 -5.5730
O 2.7493 -3.5421 -3.2515
O -1.8523 -4.4083 -8.0633
CELL_PARAMETERS angstrom
-0.0515 0.1638 -7.6316
4.7462 -4.7773 -3.5946
-3.1472 -5.9701 -3.5670

No. 2
! Rb3PuHg2O6 | Alexandria via LeMat-Bulk | PBE | optimized geometry; values from VASP
! **Space group**: No. 12
&SYSTEM
  ibrav = 0, nat = 12, ntyp = 4
/
ATOMIC_SPECIES
Rb 85.47 Rb.upf
Pu 244.00 Pu.upf
Hg 200.59 Hg.upf
O 16.00 O.upf
ATOMIC_POSITIONS angstrom
Rb 0.1714 3.3100 4.6017
Rb -5.4936 -0.9767 1.0138
Rb -2.6611 1.1667 2.8078
Pu 0.0000 0.0000 0.0000
Hg 0.6093 -0.3422 3.5002
Hg -1.9921 -2.3107 1.8526
O -5.4867 1.2380 3.5000
O -2.1696 -1.0406 4.6689
O 0.1645 1.0953 2.1155
O -3.1224 3.0270 4.9974
O -3.1526 3.3739 0.9466
O -2.1998 -0.6936 0.6181
CELL_PARAMETERS angstrom
-5.1304 -4.6854 -0.1350
3.7476 2.0325 5.4879
-3.9394 4.9863 0.2627

No. 3
! RbPu2HgO8 | Alexandria via LeMat-Bulk | PBE | optimized geometry; values from VASP
! **Space group**: No. 147
&SYSTEM
  ibrav = 0, nat = 12, ntyp = 4
/
ATOMIC_SPECIES
Rb 85.47 Rb.upf
Pu 244.00 Pu.upf
Hg 200.59 Hg.upf
O 16.00 O.upf
ATOMIC_POSITIONS angstrom
Rb 1.4354 -0.4437 3.1987
Pu -2.6904 1.3688 1.8409
Pu 0.0079 -2.8839 6.9616
Hg 0.0000 0.0000 0.0000
O -1.8709 0.4154 7.7287
O 0.5295 -0.6721 6.5006
O 0.3154 2.1852 6.9931
O -0.8117 -1.9306 1.0738
O -3.2121 -0.8430 2.3018
O -2.9979 -3.7003 1.8094
O -1.9341 1.1350 3.5263
O -0.7484 -2.6501 5.2762
CELL_PARAMETERS angstrom
-3.0072 4.8853 2.0272
-2.5462 -5.5130 0.3779
2.8709 -0.8874 6.3974

No. 4
! RbPuHgO6 | Alexandria via LeMat-Bulk | PBE | optimized geometry; values from VASP
! **Space group**: No. 1
&SYSTEM
  ibrav = 0, nat = 9, ntyp = 4
/
ATOMIC_SPECIES
Rb 85.47 Rb.upf
Pu 244.00 Pu.upf
Hg 200.59 Hg.upf
O 16.00 O.upf
ATOMIC_POSITIONS angstrom
Rb -7.6060 0.8838 3.6926
Pu -7.3355 3.2217 0.1242
Hg -4.3301 2.1001 1.3195
O -6.2390 4.3999 -0.8579
O -2.8951 2.9738 2.5298
O -6.6455 3.6033 1.8066
O -8.6224 4.8716 0.3414
O -5.7866 1.6677 -0.0350
O -8.0601 2.5989 -1.4718
CELL_PARAMETERS angstrom
-3.8522 4.5422 -2.3698
-5.7298 -0.9625 -1.3882
-1.9223 1.6846 5.2478

Number 1: uncorrected formation energy -37.57 eV/f.u., magnetic moment 4.0 Bohr magnetons per cell. Number 2: uncorrected formation energy -18.18 eV/f.u., magnetic moment 3.0 Bohr magnetons per cell. Number 3: uncorrected formation energy -20.56 eV/f.u., magnetic moment 3.0 Bohr magnetons per cell. Number 4: uncorrected formation energy -12.10 eV/f.u., magnetic moment 1.0 Bohr magnetons per cell.